Li2Cr2O7 (PBE+U, relaxed); calculated density = 2.615 g/cm3; M_tot = 0.07 μB/f.u.; energy above the lowest structure with this stoichiometry = 44 meV per atom
1.0
-5.896 1.376 -2.488
-3.366 -3.914 3.895
-3.245 5.548 3.746
O Li Cr
14 4 4
Cartesian
-3.952 -1.900 4.023
-7.595 4.167 2.275
-4.914 -0.118 1.509
-5.825 1.371 -0.494
-4.281 1.370 4.176
-2.464 1.282 1.926
-6.116 0.327 5.932
-5.328 2.674 1.919
-10.381 3.737 4.193
-6.526 2.770 4.876
-9.060 1.174 4.636
-6.506 -1.784 3.391
-5.286 5.156 3.433
-7.428 0.838 1.571
-8.328 3.510 4.292
-3.472 -0.116 3.179
-7.970 -1.156 2.107
-3.163 2.721 3.193
-5.886 1.139 1.107
-2.047 1.298 0.342
-5.371 1.702 5.407
-5.981 4.285 2.092